No. 1
Material: V2InGeO
Method: DFT, PBE+U
State: relaxed

The structure belongs to space group P4/mmm (No. 123); the cell edges are 4.208, 4.208 and 4.931 Å and the angles 90.00°, 90.00° and 90.00°. The inequivalent atoms are V at (0.000, 0.500, 0.000), In at (0.000, 0.000, 0.500), Ge at (0.500, 0.500, 0.500) and O at (0.000, 0.000, 0.000).

As for the crystal system: tetragonal. The calculation puts the electronic total energy at -27.5 eV per formula unit.

---

No. 2
Material: InGeWO6
Method: DFT, PBE+U
State: relaxed

The structure belongs to space group P4_2nm (No. 102); the cell edges are 4.688, 4.688 and 9.492 Å and the angles 90.00°, 90.00° and 90.00°. The inequivalent atoms are In at (0.000, 0.000, 0.000), Ge at (0.000, 0.000, 0.666), W at (0.000, 0.000, 0.334), O at (0.180, 0.180, 0.504), O at (0.202, 0.202, 0.817) and O at (0.211, 0.211, 0.175).

As for the crystal system: tetragonal. The calculation puts the electronic total energy at -60.1 eV per formula unit.